Record 1
SmCdSi2Pt2: optimized geometry, PBE.

Output
The space group is P-3m1, No. 164.

The structure in POSCAR format:
```
SmCdSi2Pt2
1.0
-1.462 3.876 -0.024
-2.372 -3.100 1.388
2.759 1.086 7.140
Sm Cd Si Pt
1 1 2 2
direct
0.000 0.000 0.000
0.000 0.000 0.500
0.667 0.333 0.251
0.333 0.667 0.749
0.667 0.333 0.711
0.333 0.667 0.289
```

=====

Record 2
SmCdSi2Pt7: optimized geometry, PBE.

Output
The space group is I-4m2, No. 119.

The structure in POSCAR format:
```
SmCdSi2Pt7
1.0
-2.605 -3.031 0.711
0.310 -1.176 -3.873
12.503 -6.810 5.197
Sm Cd Si Pt
1 1 2 7
direct
0.500 0.500 0.000
0.250 0.750 0.500
0.882 0.882 0.765
0.118 0.118 0.235
0.075 0.575 0.150
0.000 0.000 0.000
0.425 0.925 0.850
0.808 0.808 0.615
0.575 0.075 0.149
0.192 0.192 0.385
0.925 0.425 0.851
```

=====

Record 3
Tb2CdSi3Pt4: optimized geometry, PBE.

Output
The space group is P-4m2, No. 115.

The structure in POSCAR format:
```
Tb2CdSi3Pt4
1.0
-1.335 -3.787 1.260
2.400 0.300 3.445
-7.912 4.492 5.120
Tb Cd Si Pt
2 1 3 4
direct
0.500 0.000 0.245
0.000 0.500 0.755
0.500 0.500 0.500
0.000 0.000 0.500
0.500 0.000 0.876
0.000 0.500 0.124
0.500 0.500 0.000
0.000 0.000 0.000
0.500 0.000 0.654
0.000 0.500 0.346
```

=====

no.,E_form (uncorrected) (kJ/mol of atoms)
1,-72
2,-33
3,-91